# ZrTiNi

A relaxed structure of ZrTiNi (PBE, Alexandria).

POSCAR file:
```
ZrTiNi
1.0
8.3086 0.0000 0.0000
0.0000 2.6438 4.5577
0.0000 -2.6438 4.5577
Zr Ti Ni
4 4 4
Direct
0.1815 0.0000 0.0000 Zr
0.2912 0.6670 0.6670 Zr
0.7088 0.6670 0.6670 Zr
0.8185 0.0000 0.0000 Zr
0.0000 0.4615 0.4615 Ti
0.5000 0.1529 0.1529 Ti
0.5000 0.1652 0.6602 Ti
0.5000 0.6602 0.1652 Ti
0.0000 0.4794 0.9663 Ni
0.0000 0.9663 0.4794 Ni
0.2490 0.3194 0.3194 Ni
0.7510 0.3194 0.3194 Ni
```

Calculated values
- Relative energy among the computed polymorphs: 41 meV per atom
- ΔE_f: -70 kJ/mol of formula units
- Volume: 200.2 Å³/cell